VASP calculation (PBE+U) on a relaxed TaCoBi2O6 crystal.

Properties
- total DFT energy (no corrections) (eV/cell) = -141.30
- size of the total moment (μB/atom) = 0.200
- calculated volume (A^3/atom) = 14.34

CIF file:
```
data_TaCoBi2O6
_chemical_formula_sum 'Ta2 Co2 Bi4 O12'
_cell_length_a 5.690
_cell_length_b 5.035
_cell_length_c 10.011
_cell_angle_alpha 90.00
_cell_angle_beta 88.93
_cell_angle_gamma 90.00
_symmetry_space_group_name_H-M 'P 1'
_symmetry_Int_Tables_number 1
_symmetry_space_group_name_Hall 'P 1'
loop_
_atom_site_label
_atom_site_fract_x
_atom_site_fract_y
_atom_site_fract_z
Ta1 0.000 0.500 0.000
O1 0.218 0.221 0.547
O2 0.088 0.288 0.839
O3 0.782 0.779 0.453
O4 0.216 0.274 0.117
Co1 0.000 0.500 0.500
O5 0.716 0.226 0.617
Bi1 0.498 0.463 0.796
O6 0.718 0.279 0.047
O7 0.282 0.721 0.953
O8 0.284 0.774 0.383
Ta2 0.500 0.000 0.500
O9 0.412 0.788 0.661
Bi2 0.502 0.537 0.204
O10 0.784 0.726 0.883
Bi3 0.998 0.037 0.296
O11 0.912 0.712 0.161
Bi4 0.002 0.963 0.704
Co2 0.500 0.000 0.000
O12 0.588 0.212 0.339
```

=====

VASP calculation (PBE+U) on a relaxed Sr3ZrCr2O9 crystal.

Properties
- total DFT energy (no corrections) (eV/cell) = -111.06
- size of the total moment (μB/atom) = 0.267
- calculated volume (A^3/atom) = 12.63

CIF file:
```
data_Sr3ZrCr2O9
_chemical_formula_sum 'Sr3 Zr1 Cr2 O9'
_cell_length_a 5.614
_cell_length_b 5.614
_cell_length_c 6.943
_cell_angle_alpha 90.00
_cell_angle_beta 90.00
_cell_angle_gamma 120.00
_symmetry_space_group_name_H-M 'P 1'
_symmetry_Int_Tables_number 1
_symmetry_space_group_name_Hall 'P 1'
loop_
_atom_site_label
_atom_site_fract_x
_atom_site_fract_y
_atom_site_fract_z
Cr1 0.333 0.667 0.162
O1 0.654 0.827 0.323
Sr1 0.667 0.333 0.317
Zr1 0.000 0.000 0.500
O2 0.000 0.500 0.000
O3 0.827 0.173 0.677
O4 0.173 0.827 0.323
O5 0.173 0.346 0.323
O6 0.500 0.500 0.000
O7 0.827 0.654 0.677
Sr2 0.333 0.667 0.683
O8 0.500 0.000 0.000
O9 0.346 0.173 0.677
Sr3 0.000 0.000 0.000
Cr2 0.667 0.333 0.838
```